# KIn2I4, relaxed, DFT PBE
# D(E_F)	4.27	states/eV/f.u.
# formation energy (no corrections)	-3.956	eV/f.u.
# E	-2.390	eV per atom
data_KIn2I4
_chemical_formula_sum 'K2 In4 I8'
_space_group_name_H-M_alt 'P 1'
_space_group_IT_number 1
_space_group_name_Hall 'P 1'
_cell_length_a 6.6744
_cell_length_b 6.6744
_cell_length_c 15.7503
_cell_angle_alpha 90.00
_cell_angle_beta 90.00
_cell_angle_gamma 90.00
loop_
_atom_site_label
_atom_site_type_symbol
_atom_site_fract_x
_atom_site_fract_y
_atom_site_fract_z
K1 K 0.0000 0.0000 0.0000
K2 K 0.5000 0.5000 0.5000
In1 In 0.0000 0.0000 0.4059
In2 In 0.0000 0.0000 0.5941
In3 In 0.5000 0.5000 0.0941
In4 In 0.5000 0.5000 0.9059
I1 I 0.0000 0.0000 0.2278
I2 I 0.0000 0.0000 0.7722
I3 I 0.0000 0.5000 0.0000
I4 I 0.0000 0.5000 0.5000
I5 I 0.5000 0.0000 0.0000
I6 I 0.5000 0.0000 0.5000
I7 I 0.5000 0.5000 0.2722
I8 I 0.5000 0.5000 0.7278

# K2Sr2OsO6, relaxed, DFT PBE
# D(E_F)	7.68	states/eV/f.u.
# formation energy (no corrections)	-20.258	eV/f.u.
# E	-6.072	eV per atom
data_K2Sr2OsO6
_chemical_formula_sum 'K2 Sr2 Os1 O6'
_space_group_name_H-M_alt 'P 1'
_space_group_IT_number 1
_space_group_name_Hall 'P 1'
_cell_length_a 6.0160
_cell_length_b 6.0160
_cell_length_c 6.5591
_cell_angle_alpha 97.99
_cell_angle_beta 97.99
_cell_angle_gamma 118.31
loop_
_atom_site_label
_atom_site_type_symbol
_atom_site_fract_x
_atom_site_fract_y
_atom_site_fract_z
K1 K 0.1587 0.8413 0.0000
K2 K 0.8413 0.1587 0.0000
Sr1 Sr 0.3375 0.6625 0.5000
Sr2 Sr 0.6625 0.3375 0.5000
Os1 Os 0.0000 0.0000 0.5000
O1 O 0.0467 0.3211 0.6737
O2 O 0.2103 0.2103 0.3184
O3 O 0.3211 0.0467 0.6737
O4 O 0.6789 0.9533 0.3263
O5 O 0.7897 0.7897 0.6816
O6 O 0.9533 0.6789 0.3263

# Tc2BiS2, relaxed, DFT PBE
# D(E_F)	2.51	states/eV/f.u.
# formation energy (no corrections)	0.845	eV/f.u.
# E	-6.404	eV per atom
data_Tc2BiS2
_chemical_formula_sum 'Tc4 Bi2 S4'
_space_group_name_H-M_alt 'P 1'
_space_group_IT_number 1
_space_group_name_Hall 'P 1'
_cell_length_a 4.0132
_cell_length_b 4.0132
_cell_length_c 11.1791
_cell_angle_alpha 90.00
_cell_angle_beta 90.00
_cell_angle_gamma 90.00
loop_
_atom_site_label
_atom_site_type_symbol
_atom_site_fract_x
_atom_site_fract_y
_atom_site_fract_z
Tc1 Tc 0.0000 0.0000 0.1374
Tc2 Tc 0.0000 0.0000 0.8626
Tc3 Tc 0.5000 0.5000 0.3626
Tc4 Tc 0.5000 0.5000 0.6374
Bi1 Bi 0.0000 0.0000 0.5000
Bi2 Bi 0.5000 0.5000 0.0000
S1 S 0.0000 0.5000 0.2500
S2 S 0.0000 0.5000 0.7500
S3 S 0.5000 0.0000 0.2500
S4 S 0.5000 0.0000 0.7500

# CrSiPt2, relaxed, DFT PBE
# D(E_F)	3.66	states/eV/f.u.
# formation energy (no corrections)	-0.899	eV/f.u.
# E	-7.007	eV per atom
data_CrSiPt2
_chemical_formula_sum 'Cr3 Si3 Pt6'
_space_group_name_H-M_alt 'P 1'
_space_group_IT_number 1
_space_group_name_Hall 'P 1'
_cell_length_a 2.7858
_cell_length_b 2.7858
_cell_length_c 25.2602
_cell_angle_alpha 90.00
_cell_angle_beta 90.00
_cell_angle_gamma 120.00
loop_
_atom_site_label
_atom_site_type_symbol
_atom_site_fract_x
_atom_site_fract_y
_atom_site_fract_z
Cr1 Cr 0.0000 0.0000 0.0000
Cr2 Cr 0.3333 0.6667 0.6667
Cr3 Cr 0.6667 0.3333 0.3333
Si1 Si 0.0000 0.0000 0.2593
Si2 Si 0.3333 0.6667 0.9260
Si3 Si 0.6667 0.3333 0.5927
Pt1 Pt 0.0000 0.0000 0.5155
Pt2 Pt 0.0000 0.0000 0.7497
Pt3 Pt 0.3333 0.6667 0.1821
Pt4 Pt 0.3333 0.6667 0.4164
Pt5 Pt 0.6667 0.3333 0.0830
Pt6 Pt 0.6667 0.3333 0.8488

Copy entry 4 word for word.
# CrSiPt2, relaxed, DFT PBE
# D(E_F)	3.66	states/eV/f.u.
# formation energy (no corrections)	-0.899	eV/f.u.
# E	-7.007	eV per atom
data_CrSiPt2
_chemical_formula_sum 'Cr3 Si3 Pt6'
_space_group_name_H-M_alt 'P 1'
_space_group_IT_number 1
_space_group_name_Hall 'P 1'
_cell_length_a 2.7858
_cell_length_b 2.7858
_cell_length_c 25.2602
_cell_angle_alpha 90.00
_cell_angle_beta 90.00
_cell_angle_gamma 120.00
loop_
_atom_site_label
_atom_site_type_symbol
_atom_site_fract_x
_atom_site_fract_y
_atom_site_fract_z
Cr1 Cr 0.0000 0.0000 0.0000
Cr2 Cr 0.3333 0.6667 0.6667
Cr3 Cr 0.6667 0.3333 0.3333
Si1 Si 0.0000 0.0000 0.2593
Si2 Si 0.3333 0.6667 0.9260
Si3 Si 0.6667 0.3333 0.5927
Pt1 Pt 0.0000 0.0000 0.5155
Pt2 Pt 0.0000 0.0000 0.7497
Pt3 Pt 0.3333 0.6667 0.1821
Pt4 Pt 0.3333 0.6667 0.4164
Pt5 Pt 0.6667 0.3333 0.0830
Pt6 Pt 0.6667 0.3333 0.8488

The lowest formation energy (no corrections) belongs to which entry?
K2Sr2OsO6

Number 2 is which compound?
K2Sr2OsO6